VASP calculation (PBE-GGA) on a relaxed structure of Tb6Sm2Tm3In.

a b c (Å): 6.086 6.086 11.671
angles (deg): 94.98 94.98 120.03
Sites, in units of the cell vectors:
Tb 0.084 0.411 0.751
Tb 0.244 0.244 0.248
Tb 0.411 0.084 0.751
Tb 0.589 0.916 0.249
Tb 0.756 0.756 0.752
Tb 0.916 0.589 0.249
Sm 0.334 0.666 0.500
Sm 0.666 0.334 0.500
Tm 0.167 0.833 0.000
Tm 0.500 0.500 0.000
Tm 0.833 0.167 0.000
In 0.000 0.000 0.500

Results
Space group ... C2/m (12)
DOS at the Fermi energy ... 14.616 states/eV/f.u.
ΔH_f (0 K) ... -0.6 eV/f.u.